Here is a PBEsol-optimized structure of BeGeTe2Os from Alexandria. Energies are from SCAN.

Properties
crystal system: tetragonal
uncorrected formation energy: 8.4 eV per formula unit

Unit cell a=4.550 b=5.260 c=5.260 alpha=90.00 beta=90.00 gamma=90.00
Last column: magnetic moment on the atom in μB.
Atoms (fractional coordinates):
Te: 0.000 0.500 0.000  -0.02
Te: 0.000 0.000 0.500  -0.02
Be: 0.500 0.500 0.500  0.14
Ge: 0.000 0.000 0.000  0.00
Os: 0.500 0.000 0.000  0.47

***

Here is a PBEsol-optimized structure of Y3Ta from Alexandria. Energies are from SCAN.

Properties
ΔE_f: 51 kJ/mol of atoms
excess energy over the best structure of this formula in the dataset: 0.60 eV/f.u.
crystal system: trigonal

Unit cell a=3.140 b=6.208 c=6.208 alpha=117.22 beta=99.71 gamma=99.71
Atoms (fractional coordinates):
Y: 0.000 0.500 0.500
Y: 0.500 0.000 0.500
Y: 0.500 0.500 0.000
Ta: 0.000 0.000 0.000

***

Here is a PBEsol-optimized structure of AlSiN2 from Alexandria. Energies are from SCAN.

Properties
crystal system: cubic
uncorrected formation energy: 3.0 eV per formula unit

Unit cell a=3.669 b=3.669 c=3.669 alpha=60.00 beta=60.00 gamma=60.00
Atoms (fractional coordinates):
Si: 0.500 0.500 0.500
Al: 0.000 0.000 0.000
N: 0.250 0.250 0.250
N: 0.750 0.750 0.750